[1]
VASP calculation (GGA-PBEsol) on a relaxed Sr4Ta2O9 crystal.

Values from the calculation:
- Calculated volume: 15.10 Å³ per atom
- Crystal system: trigonal
- Symmetry: P-3c1, No. 165
- Formation energy (no corrections): -2.998 eV/atom
- Offset from the most stable computed form: 38 meV/atom
- Magnetic moment: 0.0 μB/f.u.

a b c (Å): 5.883 5.883 15.116
angles (deg): 90.00 90.00 120.00
Fractional coordinates of all 30 atoms:
Sr: 0.667 0.333 0.471
Sr: 0.667 0.333 0.198
Sr: 0.667 0.333 0.698
Sr: 0.667 0.333 0.971
Sr: 0.333 0.667 0.302
Sr: 0.333 0.667 0.802
Sr: 0.333 0.667 0.029
Sr: 0.333 0.667 0.529
Ta: 0.000 0.000 0.351
Ta: 0.000 0.000 0.149
Ta: 0.000 0.000 0.851
Ta: 0.000 0.000 0.649
O: 0.000 0.751 0.750
O: 0.955 0.688 0.092
O: 0.733 0.688 0.592
O: 0.955 0.267 0.592
O: 0.000 0.249 0.250
O: 0.751 0.000 0.750
O: 0.733 0.045 0.092
O: 0.312 0.267 0.092
O: 0.688 0.955 0.408
O: 0.751 0.751 0.250
O: 0.312 0.045 0.592
O: 0.688 0.733 0.908
O: 0.267 0.955 0.908
O: 0.249 0.000 0.250
O: 0.045 0.733 0.408
O: 0.267 0.312 0.408
O: 0.249 0.249 0.750
O: 0.045 0.312 0.908

[2]
VASP calculation (GGA-PBEsol) on a relaxed CrRh3 crystal.

Values from the calculation:
- Calculated volume: 12.90 Å³ per atom
- Crystal system: tetragonal
- Symmetry: P4/mmm, No. 123
- Final energy: -0.3201 hartree per atom
- Magnetic moment: 0.0 μB/f.u.

a b c (Å): 2.638 2.638 7.416
angles (deg): 90.00 90.00 90.00
Fractional coordinates of all 4 atoms:
Cr: 0.000 0.000 0.000
Rh: 0.000 0.000 0.500
Rh: 0.500 0.500 0.236
Rh: 0.500 0.500 0.764

[3]
VASP calculation (GGA-PBEsol) on a relaxed K3NiH crystal.

Values from the calculation:
- Calculated volume: 39.18 Å³ per atom
- Crystal system: cubic
- Symmetry: Pm-3m, No. 221
- Final energy: -0.0701 hartree per atom
- Magnetic moment: 0.1 μB/f.u.

a b c (Å): 5.808 5.808 5.808
angles (deg): 90.00 90.00 90.00
Fractional coordinates of all 5 atoms:
Ni: 0.000 0.000 0.000
K: 0.000 0.500 0.000
K: 0.000 0.000 0.500
K: 0.500 0.000 0.000
H: 0.500 0.500 0.500

[4]
VASP calculation (GGA-PBEsol) on a relaxed CaRhIN2 crystal.

Values from the calculation:
- Calculated volume: 17.46 Å³ per atom
- Crystal system: tetragonal
- Symmetry: P4/mmm, No. 123
- Formation energy (no corrections): 0.488 eV/atom
- Magnetic moment: 0.0 μB/f.u.

a b c (Å): 4.019 4.019 5.405
angles (deg): 90.00 90.00 90.00
Fractional coordinates of all 5 atoms:
I: 0.000 0.000 0.500
Ca: 0.500 0.500 0.500
Rh: 0.000 0.000 0.000
N: 0.000 0.500 0.000
N: 0.500 0.000 0.000